Entry 1:
La2Nd3Er6: optimized geometry, PBE.

ΔH_f (0 K)   0.184 eV per atom

Lattice parameters (Å, degrees): 6.234 6.151 11.695 85.71 81.50 59.56
Positions (direct):
Nd 0.000 0.000 0.000
Nd 0.664 0.672 0.000
Nd 0.336 0.328 0.000
Er 0.927 0.666 0.247
Er 0.739 0.000 0.749
Er 0.073 0.334 0.753
Er 0.407 0.666 0.753
Er 0.593 0.334 0.247
Er 0.261 0.000 0.251
La 0.823 0.355 0.500
La 0.177 0.645 0.500

---

Entry 2:
KMg2Al: optimized geometry, PBE.

ΔH_f (0 K)   0.249 eV per atom

Lattice parameters (Å, degrees): 11.410 11.410 11.410 16.59 16.59 16.59
Positions (direct):
Mg 0.987 0.987 0.987
Mg 0.513 0.513 0.513
K 0.750 0.750 0.750
Al 0.250 0.250 0.250

---

Entry 3:
InOsCl2: optimized geometry, PBE.

Energy relative to the lowest polymorph listed for this composition   97 meV per atom
Formation energy from raw total energies   0.44 eV/f.u.

Lattice parameters (Å, degrees): 7.228 7.228 4.960 70.66 70.66 24.55
Positions (direct):
Cl 0.606 0.606 0.390
Cl 0.894 0.894 0.110
Os 0.250 0.250 0.250
In 0.750 0.750 0.750

---

Entry 4:
BaLiB9O15: optimized geometry, PBE.

Formation energy from raw total energies   -66.04 eV/f.u.

Lattice parameters (Å, degrees): 8.639 8.639 8.639 80.63 80.63 80.63
Positions (direct):
B 0.243 0.106 0.581
B 0.257 0.919 0.394
B 0.394 0.257 0.919
B 0.106 0.581 0.243
B 0.894 0.419 0.757
B 0.743 0.081 0.606
B 0.750 0.180 0.319
B 0.919 0.394 0.257
B 0.757 0.894 0.419
B 0.581 0.243 0.106
B 0.606 0.743 0.081
B 0.419 0.757 0.894
B 0.819 0.680 0.250
B 0.319 0.750 0.180
B 0.250 0.819 0.680
B 0.180 0.319 0.750
B 0.081 0.606 0.743
B 0.680 0.250 0.819
Ba 0.498 0.498 0.498
Ba 0.998 0.998 0.998
O 0.924 0.576 0.750
O 0.076 0.424 0.250
O 0.743 0.744 0.398
O 0.576 0.750 0.924
O 0.779 0.012 0.296
O 0.424 0.250 0.076
O 0.203 0.488 0.722
O 0.244 0.243 0.898
O 0.703 0.222 0.988
O 0.488 0.722 0.203
O 0.222 0.988 0.703
O 0.512 0.279 0.796
O 0.988 0.703 0.222
O 0.256 0.602 0.257
O 0.750 0.924 0.576
O 0.744 0.398 0.743
O 0.296 0.779 0.012
O 0.898 0.244 0.243
O 0.102 0.756 0.757
O 0.796 0.512 0.279
O 0.398 0.743 0.744
O 0.757 0.102 0.756
O 0.602 0.257 0.256
O 0.756 0.757 0.102
O 0.243 0.898 0.244
O 0.722 0.203 0.488
O 0.257 0.256 0.602
O 0.012 0.296 0.779
O 0.250 0.076 0.424
O 0.279 0.796 0.512
Li 0.745 0.745 0.745
Li 0.245 0.245 0.245

---

Entry 5:
PuPa3O8: optimized geometry, PBE.

Formation energy from raw total energies   -42.73 eV/f.u.

Lattice parameters (Å, degrees): 5.462 5.462 5.462 90.00 90.00 90.00
Positions (direct):
O 0.256 0.256 0.256
O 0.744 0.256 0.744
O 0.256 0.744 0.256
O 0.744 0.744 0.256
O 0.744 0.256 0.256
O 0.744 0.744 0.744
O 0.256 0.256 0.744
O 0.256 0.744 0.744
Pa 0.000 0.500 0.500
Pa 0.500 0.000 0.500
Pa 0.500 0.500 0.000
Pu 0.000 0.000 0.000

---

Entry 6:
CaPr3Zn8: optimized geometry, PBE.

Energy relative to the lowest polymorph listed for this composition   0 meV per atom
ΔH_f (0 K)   -0.297 eV per atom

Lattice parameters (Å, degrees): 5.618 5.618 9.671 73.11 73.11 60.00
Positions (direct):
Zn 0.938 0.437 0.687
Zn 0.439 0.934 0.188
Zn 0.439 0.439 0.188
Zn 0.934 0.439 0.188
Zn 0.938 0.938 0.687
Zn 0.437 0.938 0.687
Zn 0.187 0.187 0.440
Zn 0.688 0.688 0.936
Pr 0.000 0.000 0.000
Pr 0.375 0.375 0.874
Pr 0.500 0.500 0.499
Ca 0.875 0.875 0.376

---

Entry 7:
PRuW: optimized geometry, PBE.

ΔH_f (0 K)   0.016 eV per atom

Lattice parameters (Å, degrees): 2.839 2.839 6.077 90.00 90.00 120.00
Positions (direct):
W 0.333 0.667 0.678
Ru 0.667 0.333 0.310
P 0.000 0.000 0.012

---

Entry 8:
V2Co3Ni: optimized geometry, PBE.

ΔH_f (0 K)   -0.155 eV per atom

Lattice parameters (Å, degrees): 3.617 6.827 6.699 120.63 105.67 90.00
Positions (direct):
Co 0.166 0.916 0.332
Co 0.500 0.750 0.000
Co 0.834 0.084 0.668
Co 0.500 0.250 0.000
Co 0.834 0.584 0.668
Co 0.166 0.416 0.332
V 0.341 0.841 0.682
V 0.659 0.659 0.318
V 0.659 0.159 0.318
V 0.341 0.341 0.682
Ni 0.000 0.500 0.000
Ni 0.000 0.000 0.000

---

Entry 9:
TaGeCl2: optimized geometry, PBE.

Energy relative to the lowest polymorph listed for this composition   0 meV per atom
Formation energy from raw total energies   -0.05 eV/f.u.

Lattice parameters (Å, degrees): 8.796 8.796 6.736 49.24 49.24 90.00
Positions (direct):
Ge 0.500 0.500 0.000
Ge 0.250 0.750 0.500
Ta 0.000 0.000 0.000
Ta 0.750 0.250 0.500
Cl 0.767 0.125 0.250
Cl 0.983 0.625 0.250
Cl 0.375 0.233 0.750
Cl 0.875 0.017 0.750

---

Entry 10:
PrTlCuRh: optimized geometry, PBE.

ΔH_f (0 K)   -0.193 eV per atom

Lattice parameters (Å, degrees): 4.885 4.885 4.885 60.00 60.00 60.00
Positions (direct):
Tl 0.000 0.000 0.000
Rh 0.750 0.750 0.750
Pr 0.500 0.500 0.500
Cu 0.250 0.250 0.250

---

Entry 11:
Li3Cd11: optimized geometry, PBE.

ΔH_f (0 K)   -0.071 eV per atom

Lattice parameters (Å, degrees): 4.701 8.530 8.530 87.13 74.00 74.00
Positions (direct):
Cd 0.000 0.500 0.500
Cd 0.500 0.648 0.352
Cd 0.143 0.119 0.594
Cd 0.857 0.881 0.406
Cd 0.143 0.594 0.119
Cd 0.632 0.986 0.750
Cd 0.632 0.750 0.986
Cd 0.368 0.014 0.250
Cd 0.500 0.352 0.648
Cd 0.368 0.250 0.014
Cd 0.857 0.406 0.881
Li 0.000 0.000 0.000
Li 0.273 0.727 0.727
Li 0.727 0.273 0.273

---

Entry 12:
Sm6Ni2RhI3: optimized geometry, PBE.

Formation energy from raw total energies   -9.16 eV/f.u.

Lattice parameters (Å, degrees): 7.116 7.116 8.356 98.16 98.16 120.01
Positions (direct):
Ni 0.333 0.667 0.000
Ni 0.667 0.333 0.000
Sm 0.939 0.603 0.818
Sm 0.724 0.724 0.182
Sm 0.061 0.397 0.182
Sm 0.397 0.061 0.182
Sm 0.603 0.939 0.818
Sm 0.276 0.276 0.818
I 0.833 0.167 0.500
I 0.500 0.500 0.500
I 0.167 0.833 0.500
Rh 0.000 0.000 0.000

---

Entry 13:
CePrTl: optimized geometry, PBE.

Energy relative to the lowest polymorph listed for this composition   0 meV per atom
ΔH_f (0 K)   -0.131 eV per atom

Lattice parameters (Å, degrees): 4.220 4.220 5.824 111.24 111.24 90.00
Positions (direct):
Tl 0.282 0.282 0.565
Ce 0.626 0.626 0.253
Pr 0.941 0.941 0.882

---

Entry 14:
YRh2I: optimized geometry, PBE.

Energy relative to the lowest polymorph listed for this composition   0 meV per atom
Formation energy from raw total energies   -0.56 eV/f.u.

Lattice parameters (Å, degrees): 4.801 4.801 4.801 60.00 60.00 60.00
Positions (direct):
Rh 0.250 0.250 0.250
Rh 0.750 0.750 0.750
I 0.500 0.500 0.500
Y 0.000 0.000 0.000

---

Entry 15:
LiCeScTl: optimized geometry, PBE.

ΔH_f (0 K)   -0.059 eV per atom

Lattice parameters (Å, degrees): 5.225 5.225 5.225 60.00 60.00 60.00
Positions (direct):
Sc 0.750 0.750 0.750
Li 0.000 0.000 0.000
Tl 0.500 0.500 0.500
Ce 0.250 0.250 0.250

---

Entry 16:
Na2Sn3Pt4Pb: optimized geometry, PBE.

ΔH_f (0 K)   -0.396 eV per atom

Lattice parameters (Å, degrees): 4.778 4.778 10.408 90.00 90.00 90.00
Positions (direct):
Pb 0.500 0.500 0.500
Pt 0.000 0.500 0.368
Pt 0.500 0.000 0.632
Pt 0.500 0.500 0.000
Pt 0.000 0.000 0.000
Sn 0.000 0.000 0.500
Sn 0.500 0.000 0.883
Sn 0.000 0.500 0.117
Na 0.000 0.500 0.773
Na 0.500 0.000 0.227

---

Entry 17:
LiLuBe4: optimized geometry, PBE.

ΔH_f (0 K)   0.103 eV per atom

Lattice parameters (Å, degrees): 4.737 4.737 4.737 60.00 60.00 60.00
Positions (direct):
Be 0.626 0.121 0.626
Be 0.626 0.626 0.626
Be 0.626 0.626 0.121
Be 0.121 0.626 0.626
Li 0.000 0.000 0.000
Lu 0.250 0.250 0.250

---

Entry 18:
Bi2PbBr: optimized geometry, PBE.

Energy relative to the lowest polymorph listed for this composition   0 meV per atom
Formation energy from raw total energies   0.14 eV/f.u.

Lattice parameters (Å, degrees): 5.526 5.526 5.526 60.00 60.00 60.00
Positions (direct):
Bi 0.750 0.750 0.750
Bi 0.250 0.250 0.250
Br 0.000 0.000 0.000
Pb 0.500 0.500 0.500

---

Entry 19:
MnTl2As: optimized geometry, PBE.

Energy relative to the lowest polymorph listed for this composition   308 meV per atom
ΔH_f (0 K)   0.388 eV per atom

Lattice parameters (Å, degrees): 5.470 5.470 5.470 129.92 129.92 73.54
Positions (direct):
Tl 0.000 0.000 0.000
Tl 0.250 0.750 0.500
As 0.500 0.500 0.000
Mn 0.750 0.250 0.500

---

Entry 20:
PrZnRh: optimized geometry, PBE.

ΔH_f (0 K)   -0.631 eV per atom

Lattice parameters (Å, degrees): 4.181 7.156 8.266 90.00 90.00 90.00
Positions (direct):
Zn 0.250 0.140 0.065
Zn 0.750 0.860 0.935
Zn 0.750 0.360 0.565
Zn 0.250 0.640 0.435
Rh 0.750 0.238 0.883
Rh 0.250 0.762 0.117
Rh 0.750 0.738 0.617
Rh 0.250 0.262 0.383
Pr 0.750 0.964 0.311
Pr 0.250 0.036 0.689
Pr 0.750 0.464 0.189
Pr 0.250 0.536 0.811

---

Entry 21:
TaNi2P: optimized geometry, PBE.

ΔH_f (0 K)   -0.392 eV per atom

Lattice parameters (Å, degrees): 5.186 5.186 3.568 90.00 90.00 147.08
Positions (direct):
Ni 0.437 0.563 0.500
Ni 0.055 0.945 0.000
P 0.312 0.688 0.000
Ta 0.697 0.303 0.500

---

Entry 22:
Li3Ca2Tl: optimized geometry, PBE.

Energy relative to the lowest polymorph listed for this composition   66 meV per atom
ΔH_f (0 K)   -0.118 eV per atom

Lattice parameters (Å, degrees): 6.225 6.225 10.158 113.34 113.34 72.97
Positions (direct):
Tl 0.334 0.334 0.668
Tl 0.666 0.666 0.332
Li 0.830 0.830 0.168
Li 0.661 0.661 0.832
Li 0.170 0.170 0.339
Li 0.170 0.170 0.832
Li 0.339 0.339 0.168
Li 0.830 0.830 0.661
Ca 0.750 0.250 0.500
Ca 0.748 0.252 0.000
Ca 0.250 0.750 0.500
Ca 0.252 0.748 0.000

---

Entry 23:
K2BaY: optimized geometry, PBE.

Energy relative to the lowest polymorph listed for this composition   114 meV per atom
ΔH_f (0 K)   0.377 eV per atom

Lattice parameters (Å, degrees): 7.726 7.726 7.106 81.78 81.78 29.88
Positions (direct):
Y 0.750 0.750 0.750
K 0.007 0.007 0.988
K 0.493 0.493 0.512
Ba 0.250 0.250 0.250